CsPbCl3 GGA-PBE optimized geometry; final energy = -0.0923 Ha/atom; space-group type = No. 221; size of the total moment = 0.0 Bohr magnetons per cell; N(E_F) = 0.040 states/eV per cell
1.0
6.148 0.000 0.000
0.000 6.148 0.000
0.000 0.000 6.148
Cl Pb Cs
3 1 1
Direct
0.000 0.000 0.500 Cl
0.500 0.000 0.000 Cl
0.000 0.500 0.000 Cl
0.500 0.500 0.500 Pb
0.000 0.000 0.000 Cs



Cs3PbCl6 GGA-PBE optimized geometry; final energy = -0.1206 Ha/atom; ΔE to the lowest computed polymorph = 2.3 meV/atom; space-group type = No. 148; size of the total moment = 0.0 Bohr magnetons per cell; N(E_F) = 11.018 states/eV per cell
1.0
-6.165 4.208 -6.125
4.468 -4.709 -7.148
-6.029 -7.372 1.589
Cl Pb Cs
12 2 6
Direct
0.784 0.448 0.574 Cl
0.216 0.552 0.426 Cl
0.261 0.950 0.067 Cl
0.950 0.067 0.261 Cl
0.050 0.933 0.739 Cl
0.448 0.574 0.784 Cl
0.574 0.784 0.448 Cl
0.933 0.739 0.050 Cl
0.426 0.216 0.552 Cl
0.552 0.426 0.216 Cl
0.067 0.261 0.950 Cl
0.739 0.050 0.933 Cl
0.000 0.000 0.000 Pb
0.500 0.500 0.500 Pb
0.739 0.432 0.921 Cs
0.921 0.739 0.432 Cs
0.432 0.921 0.739 Cs
0.568 0.079 0.261 Cs
0.261 0.568 0.079 Cs
0.079 0.261 0.568 Cs



CsPb3Cl GGA-PBE optimized geometry; final energy = -0.0986 Ha/atom; ΔE to the lowest computed polymorph = 0.0 meV/atom; space-group type = No. 221; size of the total moment = 0.0 Bohr magnetons per cell; N(E_F) = 5.221 states/eV per cell
1.0
-0.520 0.442 -5.811
-3.471 -4.710 -0.047
-4.681 3.444 0.680
Pb Cs Cl
3 1 1
Direct
0.500 0.000 0.000 Pb
0.000 0.500 0.000 Pb
0.000 0.000 0.500 Pb
0.500 0.500 0.500 Cs
0.000 0.000 0.000 Cl



Cs3PbCl GGA-PBE optimized geometry; final energy = -0.0857 Ha/atom; ΔE to the lowest computed polymorph = 0.0 meV/atom; space-group type = No. 221; size of the total moment = 2.0 Bohr magnetons per cell; N(E_F) = 2.271 states/eV per cell
1.0
-6.090 2.664 -0.607
-2.354 -5.868 -2.140
-1.388 -1.738 6.294
Cs Cl Pb
3 1 1
Direct
0.000 0.000 0.500 Cs
0.000 0.500 0.000 Cs
0.500 0.000 0.000 Cs
0.000 0.000 0.000 Cl
0.500 0.500 0.500 Pb



CsPb2Cl7 GGA-PBE optimized geometry; final energy = -0.1153 Ha/atom; space-group type = No. 65; size of the total moment = 0.0 Bohr magnetons per cell; N(E_F) = 5.248 states/eV per cell
1.0
-0.431 5.245 -1.330
-6.014 0.928 5.607
7.717 1.314 2.682
Cs Cl Pb
1 7 2
Direct
0.000 0.000 0.000 Cs
0.500 0.949 0.677 Cl
0.500 0.500 0.500 Cl
0.500 0.323 0.051 Cl
0.500 0.051 0.323 Cl
0.000 0.295 0.705 Cl
0.500 0.677 0.949 Cl
0.000 0.705 0.295 Cl
0.500 0.702 0.298 Pb
0.500 0.298 0.702 Pb



CsPbCl4 GGA-PBE optimized geometry; final energy = -0.1145 Ha/atom; space-group type = No. 65; size of the total moment = 0.7 Bohr magnetons per cell; N(E_F) = 2.553 states/eV per cell
1.0
4.936 0.475 -0.001
0.468 4.938 -0.002
0.003 0.004 8.578
Cl Pb Cs
4 1 1
Direct
0.502 0.997 0.707 Cl
0.502 0.998 0.290 Cl
0.001 0.497 0.290 Cl
0.001 0.497 0.707 Cl
0.001 0.998 0.498 Pb
0.501 0.498 0.998 Cs



| no. | ΔE_f (raw) (eV per atom) |
| --- | --- |
| 1 | -0.49 |
| 2 | -1.55 |
| 3 | 0.08 |
| 4 | -0.71 |
| 5 | -1.02 |
| 6 | -1.13 |